{
  "formula": "BaNaPCl2",
  "functional": "GGA-PBEsol",
  "state": "optimized geometry",
  "density_g_cm3": 2.00,
  "e_form_raw_ev_per_atom": -0.8112,
  "dos_ef_per_ev_atom": 0.697,
  "vol_a3_per_cell": 217.2,
  "magnetic_moment_mub_per_cell": 2.00,
  "lattice_angstrom": [[5.890, 0.000, 0.000], [0.000, 5.890, 0.000], [0.000, 0.000, 6.260]],
  "species": ["Ba", "Na", "P", "Cl", "Cl"],
  "frac_coords": [[0.000, 0.000, 0.000], [0.500, 0.500, 0.500], [0.000, 0.000, 0.500], [0.000, 0.500, 0.000], [0.500, 0.000, 0.000]]
}

{
  "formula": "BaNaRe2Cl",
  "functional": "GGA-PBEsol",
  "state": "optimized geometry",
  "density_g_cm3": 8.53,
  "e_form_raw_ev_per_atom": 1.2328,
  "dos_ef_per_ev_atom": 0.578,
  "vol_a3_per_cell": 110.7,
  "magnetic_moment_mub_per_cell": 0.00,
  "lattice_angstrom": [[4.431, 0.000, 0.000], [0.000, 4.431, 0.000], [0.000, 0.000, 5.636]],
  "species": ["Ba", "Na", "Re", "Re", "Cl"],
  "frac_coords": [[0.000, 0.000, 0.000], [0.500, 0.500, 0.000], [0.000, 0.500, 0.500], [0.500, 0.000, 0.500], [0.000, 0.000, 0.500]]
}

{
  "formula": "BaNbPCl2",
  "functional": "GGA-PBEsol",
  "state": "optimized geometry",
  "density_g_cm3": 4.64,
  "e_form_raw_ev_per_atom": -1.0886,
  "dos_ef_per_ev_atom": 0.547,
  "vol_a3_per_cell": 118.8,
  "magnetic_moment_mub_per_cell": 0.00,
  "lattice_angstrom": [[4.911, 0.000, 0.000], [0.000, 4.911, 0.000], [0.000, 0.000, 4.924]],
  "species": ["Ba", "Nb", "P", "Cl", "Cl"],
  "frac_coords": [[0.000, 0.000, 0.000], [0.500, 0.500, 0.500], [0.500, 0.500, 0.000], [0.000, 0.500, 0.500], [0.500, 0.000, 0.500]]
}

{
  "formula": "Ba2NiSCl",
  "functional": "GGA-PBEsol",
  "state": "optimized geometry",
  "density_g_cm3": 4.86,
  "e_form_raw_ev_per_atom": -1.1661,
  "dos_ef_per_ev_atom": 0.514,
  "vol_a3_per_cell": 137.0,
  "magnetic_moment_mub_per_cell": 0.00,
  "lattice_angstrom": [[5.745, 0.000, 0.000], [0.000, 5.745, 0.000], [0.000, 0.000, 4.151]],
  "species": ["Ba", "Ba", "Ni", "S", "Cl"],
  "frac_coords": [[0.000, 0.500, 0.000], [0.500, 0.000, 0.000], [0.000, 0.000, 0.000], [0.000, 0.000, 0.500], [0.500, 0.500, 0.500]]
}

{
  "formula": "Ba3Cl2O2",
  "functional": "GGA-PBEsol",
  "state": "optimized geometry",
  "density_g_cm3": 3.93,
  "e_form_raw_ev_per_atom": -2.4718,
  "dos_ef_per_ev_atom": 0.000,
  "vol_a3_per_cell": 871.2,
  "magnetic_moment_mub_per_cell": 0.00,
  "lattice_angstrom": [[13.236, 0.000, 0.000], [0.000, 6.295, 0.000], [0.000, 0.000, 10.456]],
  "species": ["Ba", "Ba", "Ba", "Ba", "Ba", "Ba", "Ba", "Ba", "Ba", "Ba", "Ba", "Ba", "Cl", "Cl", "Cl", "Cl", "Cl", "Cl", "Cl", "Cl", "O", "O", "O", "O", "O", "O", "O", "O"],
  "frac_coords": [[0.035, 0.250, 0.205], [0.071, 0.250, 0.573], [0.209, 0.750, 0.368], [0.291, 0.250, 0.868], [0.429, 0.750, 0.073], [0.465, 0.750, 0.705], [0.535, 0.250, 0.295], [0.571, 0.250, 0.927], [0.709, 0.750, 0.132], [0.791, 0.250, 0.632], [0.929, 0.750, 0.427], [0.965, 0.750, 0.795], [0.051, 0.250, 0.894], [0.212, 0.750, 0.672], [0.288, 0.250, 0.172], [0.449, 0.750, 0.394], [0.551, 0.250, 0.606], [0.712, 0.750, 0.828], [0.788, 0.250, 0.328], [0.949, 0.750, 0.106], [0.075, 0.002, 0.378], [0.075, 0.498, 0.378], [0.425, 0.502, 0.878], [0.425, 0.998, 0.878], [0.575, 0.002, 0.122], [0.575, 0.498, 0.122], [0.925, 0.502, 0.622], [0.925, 0.998, 0.622]]
}

{
  "formula": "Ba4Cl6O",
  "functional": "GGA-PBEsol",
  "state": "optimized geometry",
  "density_g_cm3": 4.02,
  "e_form_raw_ev_per_atom": -2.5949,
  "dos_ef_per_ev_atom": 0.000,
  "vol_a3_per_cell": 643.3,
  "magnetic_moment_mub_per_cell": 0.27,
  "lattice_angstrom": [[9.947, 0.000, 0.000], [-4.973, 8.614, 0.000], [0.000, 0.000, 7.508]],
  "species": ["Ba", "Ba", "Ba", "Ba", "Ba", "Ba", "Ba", "Ba", "Cl", "Cl", "Cl", "Cl", "Cl", "Cl", "Cl", "Cl", "Cl", "Cl", "Cl", "Cl", "O", "O"],
  "frac_coords": [[0.195, 0.390, 0.000], [0.195, 0.805, 0.000], [0.333, 0.667, 0.562], [0.390, 0.195, 0.500], [0.610, 0.805, 0.000], [0.667, 0.333, 0.062], [0.805, 0.195, 0.500], [0.805, 0.610, 0.500], [0.058, 0.529, 0.283], [0.147, 0.293, 0.600], [0.147, 0.853, 0.600], [0.293, 0.147, 0.100], [0.471, 0.529, 0.283], [0.471, 0.942, 0.283], [0.529, 0.058, 0.783], [0.529, 0.471, 0.783], [0.707, 0.853, 0.600], [0.853, 0.147, 0.100], [0.853, 0.707, 0.100], [0.942, 0.471, 0.783], [0.333, 0.667, 0.897], [0.667, 0.333, 0.397]]
}

What is the formula in the fourth record?
Ba2NiSCl

What is the formula in the sixth record?
Ba4Cl6O